Computed, not measured: a relaxed structure of CaLa2SiO at the GGA-PBE level of DFT.

Its density of states at the Fermi level is 0.757 states/eV/atom. The formation energy from raw total energies comes out at -1.355 eV per atom. As for the total DFT energy (no corrections): -5.803 eV per atom.

It has space group P4/mmm (No. 123), with a = 5.007 Å, b = 5.007 Å, c = 4.662 Å, α = 90.00°, β = 90.00° and γ = 90.00°. The inequivalent atoms are Ca at (0.000, 0.000, 0.000), La at (0.000, 0.500, 0.500), Si at (0.500, 0.500, 0.000) and O at (0.000, 0.000, 0.500).